No. 1
# SrHfRe3, relaxed, DFT PBE
# * magnetization: 0.64 μB per atom
# * energy above the lowest structure with this stoichiometry: 0.000 eV/atom
data_SrHfRe3
_chemical_formula_sum 'Sr1 Hf1 Re3'
_space_group_name_H-M_alt 'P 1'
_space_group_IT_number 1
_space_group_name_Hall 'P 1'
_cell_length_a 4.9369
_cell_length_b 4.9369
_cell_length_c 4.9369
_cell_angle_alpha 90.00
_cell_angle_beta 90.00
_cell_angle_gamma 90.00
loop_
_atom_site_label
_atom_site_type_symbol
_atom_site_fract_x
_atom_site_fract_y
_atom_site_fract_z
Re1 Re 0.0000 0.5000 0.0000
Re2 Re 0.0000 0.0000 0.5000
Re3 Re 0.5000 0.0000 0.0000
Hf1 Hf 0.0000 0.0000 0.0000
Sr1 Sr 0.5000 0.5000 0.5000

***

No. 2
# Sr3HfRe, relaxed, DFT PBE
# * magnetization: 0.90 μB per atom
# * energy above the lowest structure with this stoichiometry: 0.621 eV/atom
data_Sr3HfRe
_chemical_formula_sum 'Sr3 Hf1 Re1'
_space_group_name_H-M_alt 'P 1'
_space_group_IT_number 1
_space_group_name_Hall 'P 1'
_cell_length_a 5.9545
_cell_length_b 5.9545
_cell_length_c 5.9545
_cell_angle_alpha 90.00
_cell_angle_beta 90.00
_cell_angle_gamma 90.00
loop_
_atom_site_label
_atom_site_type_symbol
_atom_site_fract_x
_atom_site_fract_y
_atom_site_fract_z
Re1 Re 0.5000 0.5000 0.5000
Hf1 Hf 0.0000 0.0000 0.0000
Sr1 Sr 0.0000 0.5000 0.0000
Sr2 Sr 0.0000 0.0000 0.5000
Sr3 Sr 0.5000 0.0000 0.0000

***

No. 3
# Sr2HfRe2, relaxed, DFT PBE
# * magnetization: 0.17 μB per atom
# * energy above the lowest structure with this stoichiometry: 0.000 eV/atom
data_Sr2HfRe2
_chemical_formula_sum 'Sr2 Hf1 Re2'
_space_group_name_H-M_alt 'P 1'
_space_group_IT_number 1
_space_group_name_Hall 'P 1'
_cell_length_a 3.5340
_cell_length_b 3.5340
_cell_length_c 11.5973
_cell_angle_alpha 81.24
_cell_angle_beta 81.24
_cell_angle_gamma 90.00
loop_
_atom_site_label
_atom_site_type_symbol
_atom_site_fract_x
_atom_site_fract_y
_atom_site_fract_z
Re1 Re 0.7500 0.2500 0.5000
Re2 Re 0.2500 0.7500 0.5000
Hf1 Hf 0.0000 0.0000 0.0000
Sr1 Sr 0.3763 0.3763 0.2473
Sr2 Sr 0.6237 0.6237 0.7527

***

No. 4
# SrHfRe2, relaxed, DFT PBE
# * magnetization: 0.00 μB per atom
# * energy above the lowest structure with this stoichiometry: 0.000 eV/atom
data_SrHfRe2
_chemical_formula_sum 'Sr1 Hf1 Re2'
_space_group_name_H-M_alt 'P 1'
_space_group_IT_number 1
_space_group_name_Hall 'P 1'
_cell_length_a 4.7591
_cell_length_b 4.7591
_cell_length_c 4.7591
_cell_angle_alpha 60.00
_cell_angle_beta 60.00
_cell_angle_gamma 60.00
loop_
_atom_site_label
_atom_site_type_symbol
_atom_site_fract_x
_atom_site_fract_y
_atom_site_fract_z
Sr1 Sr 0.5000 0.5000 0.5000
Hf1 Hf 0.2500 0.2500 0.2500
Re1 Re 0.7500 0.7500 0.7500
Re2 Re 0.0000 0.0000 0.0000

***

No. 5
# SrHf3Re, relaxed, DFT PBE
# * magnetization: 0.12 μB per atom
# * energy above the lowest structure with this stoichiometry: 2.155 eV/atom
data_SrHf3Re
_chemical_formula_sum 'Sr1 Hf3 Re1'
_space_group_name_H-M_alt 'P 1'
_space_group_IT_number 1
_space_group_name_Hall 'P 1'
_cell_length_a 4.8999
_cell_length_b 4.8999
_cell_length_c 4.8999
_cell_angle_alpha 90.00
_cell_angle_beta 90.00
_cell_angle_gamma 90.00
loop_
_atom_site_label
_atom_site_type_symbol
_atom_site_fract_x
_atom_site_fract_y
_atom_site_fract_z
Re1 Re 0.5000 0.5000 0.5000
Hf1 Hf 0.0000 0.5000 0.0000
Hf2 Hf 0.0000 0.0000 0.5000
Hf3 Hf 0.5000 0.0000 0.0000
Sr1 Sr 0.0000 0.0000 0.0000

***

No. 6
# SrHfZr2Re, relaxed, DFT PBE
# * magnetization: 0.00 μB per atom
# * VASP energy: -30.45 eV for the cell shown
data_SrHfZr2Re
_chemical_formula_sum 'Sr1 Hf1 Zr2 Re1'
_space_group_name_H-M_alt 'P 1'
_space_group_IT_number 1
_space_group_name_Hall 'P 1'
_cell_length_a 5.0283
_cell_length_b 4.8168
_cell_length_c 5.0283
_cell_angle_alpha 90.00
_cell_angle_beta 90.00
_cell_angle_gamma 90.00
loop_
_atom_site_label
_atom_site_type_symbol
_atom_site_fract_x
_atom_site_fract_y
_atom_site_fract_z
Re1 Re 0.0000 0.5000 0.0000
Hf1 Hf 0.5000 0.5000 0.5000
Zr1 Zr 0.0000 0.0000 0.5000
Zr2 Zr 0.5000 0.0000 0.0000
Sr1 Sr 0.0000 0.0000 0.0000

***

No. 7
# Hf2TaRe, relaxed, DFT PBE
# * magnetization: 0.00 μB per atom
# * energy above the lowest structure with this stoichiometry: 0.000 eV/atom
data_Hf2TaRe
_chemical_formula_sum 'Hf2 Ta1 Re1'
_space_group_name_H-M_alt 'P 1'
_space_group_IT_number 1
_space_group_name_Hall 'P 1'
_cell_length_a 3.2665
_cell_length_b 3.2665
_cell_length_c 7.0854
_cell_angle_alpha 90.00
_cell_angle_beta 90.00
_cell_angle_gamma 90.00
loop_
_atom_site_label
_atom_site_type_symbol
_atom_site_fract_x
_atom_site_fract_y
_atom_site_fract_z
Re1 Re 0.5000 0.5000 0.0000
Hf1 Hf 0.0000 0.0000 0.7737
Hf2 Hf 0.0000 0.0000 0.2263
Ta1 Ta 0.5000 0.5000 0.5000

***

No. 8
# HfTa4Re5, relaxed, DFT PBE
# * magnetization: 0.00 μB per atom
# * VASP energy: -123.80 eV for the cell shown
data_HfTa4Re5
_chemical_formula_sum 'Hf1 Ta4 Re5'
_space_group_name_H-M_alt 'P 1'
_space_group_IT_number 1
_space_group_name_Hall 'P 1'
_cell_length_a 3.2119
_cell_length_b 3.2119
_cell_length_c 16.1246
_cell_angle_alpha 90.00
_cell_angle_beta 90.00
_cell_angle_gamma 90.00
loop_
_atom_site_label
_atom_site_type_symbol
_atom_site_fract_x
_atom_site_fract_y
_atom_site_fract_z
Hf1 Hf 0.0000 0.0000 0.0000
Ta1 Ta 0.0000 0.0000 0.2012
Ta2 Ta 0.0000 0.0000 0.4005
Ta3 Ta 0.0000 0.0000 0.5995
Ta4 Ta 0.0000 0.0000 0.7988
Re1 Re 0.5000 0.5000 0.1055
Re2 Re 0.5000 0.5000 0.3025
Re3 Re 0.5000 0.5000 0.5000
Re4 Re 0.5000 0.5000 0.6975
Re5 Re 0.5000 0.5000 0.8945

***

No. 9
# Hf3TaRe, relaxed, DFT PBE
# * magnetization: 0.00 μB per atom
# * energy above the lowest structure with this stoichiometry: 0.719 eV/atom
data_Hf3TaRe
_chemical_formula_sum 'Hf3 Ta1 Re1'
_space_group_name_H-M_alt 'P 1'
_space_group_IT_number 1
_space_group_name_Hall 'P 1'
_cell_length_a 4.9380
_cell_length_b 4.9380
_cell_length_c 4.9380
_cell_angle_alpha 90.00
_cell_angle_beta 90.00
_cell_angle_gamma 90.00
loop_
_atom_site_label
_atom_site_type_symbol
_atom_site_fract_x
_atom_site_fract_y
_atom_site_fract_z
Re1 Re 0.5000 0.5000 0.5000
Hf1 Hf 0.0000 0.5000 0.0000
Hf2 Hf 0.0000 0.0000 0.5000
Hf3 Hf 0.5000 0.0000 0.0000
Ta1 Ta 0.0000 0.0000 0.0000

***

No. 10
# Hf5TaRe6, relaxed, DFT PBE
# * magnetization: 0.00 μB per atom
# * VASP energy: -140.56 eV for the cell shown
data_Hf5TaRe6
_chemical_formula_sum 'Hf5 Ta1 Re6'
_space_group_name_H-M_alt 'P 1'
_space_group_IT_number 1
_space_group_name_Hall 'P 1'
_cell_length_a 4.6048
_cell_length_b 6.5250
_cell_length_c 7.9877
_cell_angle_alpha 114.11
_cell_angle_beta 106.75
_cell_angle_gamma 90.00
loop_
_atom_site_label
_atom_site_type_symbol
_atom_site_fract_x
_atom_site_fract_y
_atom_site_fract_z
Re1 Re 0.8356 0.5883 0.6711
Re2 Re 0.8355 0.0827 0.6711
Re3 Re 0.5000 0.7558 0.0000
Re4 Re 0.5000 0.2442 0.0000
Re5 Re 0.1645 0.9173 0.3289
Re6 Re 0.1644 0.4117 0.3289
Hf1 Hf 0.6671 0.1671 0.3343
Hf2 Hf 0.3336 0.3336 0.6672
Hf3 Hf 0.0000 0.5000 0.0000
Hf4 Hf 0.6664 0.6664 0.3328
Hf5 Hf 0.3329 0.8329 0.6657
Ta1 Ta 0.0000 0.0000 0.0000

***

No. 11
# Hf2TaRe, relaxed, DFT PBE
# * magnetization: 0.00 μB per atom
# * energy above the lowest structure with this stoichiometry: 0.059 eV/atom
data_Hf2TaRe
_chemical_formula_sum 'Hf2 Ta1 Re1'
_space_group_name_H-M_alt 'P 1'
_space_group_IT_number 1
_space_group_name_Hall 'P 1'
_cell_length_a 3.3529
_cell_length_b 4.7219
_cell_length_c 4.7219
_cell_angle_alpha 90.00
_cell_angle_beta 90.00
_cell_angle_gamma 90.00
loop_
_atom_site_label
_atom_site_type_symbol
_atom_site_fract_x
_atom_site_fract_y
_atom_site_fract_z
Re1 Re 0.5000 0.5000 0.5000
Hf1 Hf 0.0000 0.0000 0.5000
Hf2 Hf 0.0000 0.5000 0.0000
Ta1 Ta 0.5000 0.0000 0.0000

***

No. 12
# HfTaRe, relaxed, DFT PBE
# * magnetization: 0.00 μB per atom
# * energy above the lowest structure with this stoichiometry: 0.497 eV/atom
data_HfTaRe
_chemical_formula_sum 'Hf4 Ta4 Re4'
_space_group_name_H-M_alt 'P 1'
_space_group_IT_number 1
_space_group_name_Hall 'P 1'
_cell_length_a 6.3178
_cell_length_b 6.3179
_cell_length_c 7.7590
_cell_angle_alpha 114.10
_cell_angle_beta 114.10
_cell_angle_gamma 89.91
loop_
_atom_site_label
_atom_site_type_symbol
_atom_site_fract_x
_atom_site_fract_y
_atom_site_fract_z
Hf1 Hf 0.1628 0.0881 0.2510
Hf2 Hf 0.1621 0.5870 0.2490
Hf3 Hf 0.4130 0.8379 0.7510
Hf4 Hf 0.9119 0.8372 0.7490
Ta1 Ta 0.6631 0.0881 0.2511
Ta2 Ta 0.4131 0.3381 0.7511
Ta3 Ta 0.6619 0.5869 0.2489
Ta4 Ta 0.9119 0.3370 0.7489
Re1 Re 0.5483 0.9735 0.5000
Re2 Re 0.7766 0.7016 0.0000
Re3 Re 0.0265 0.4517 0.5000
Re4 Re 0.2984 0.2234 0.0000

***

No. 13
# Hf3TaRe, relaxed, DFT PBE
# * magnetization: 0.00 μB per atom
# * energy above the lowest structure with this stoichiometry: 0.000 eV/atom
data_Hf3TaRe
_chemical_formula_sum 'Hf3 Ta1 Re1'
_space_group_name_H-M_alt 'P 1'
_space_group_IT_number 1
_space_group_name_Hall 'P 1'
_cell_length_a 4.9550
_cell_length_b 4.9550
_cell_length_c 4.9550
_cell_angle_alpha 90.00
_cell_angle_beta 90.00
_cell_angle_gamma 90.00
loop_
_atom_site_label
_atom_site_type_symbol
_atom_site_fract_x
_atom_site_fract_y
_atom_site_fract_z
Re1 Re 0.0000 0.0000 0.0000
Hf1 Hf 0.0000 0.5000 0.0000
Hf2 Hf 0.0000 0.0000 0.5000
Hf3 Hf 0.5000 0.0000 0.0000
Ta1 Ta 0.5000 0.5000 0.5000